The following is a PBE-GGA calculation of a relaxed structure of YCoPb2, from Alexandria.

## Properties
The final energy comes out at -5.202 eV per atom.

Structure (CIF):
```
data_YCoPb2
_chemical_formula_sum 'Y2 Co2 Pb4'
_space_group_name_H-M_alt 'I m m m'
_space_group_IT_number 71
_space_group_name_Hall '-I 2 2'
_cell_length_a 3.4393
_cell_length_b 5.5759
_cell_length_c 9.8041
_cell_angle_alpha 90.00
_cell_angle_beta 90.00
_cell_angle_gamma 90.00
loop_
_atom_site_label
_atom_site_type_symbol
_atom_site_fract_x
_atom_site_fract_y
_atom_site_fract_z
Y1 Y 0.0000 0.0000 0.0000
Co1 Co 0.0000 0.0000 0.5000
Pb1 Pb 0.0000 0.5000 0.2093
```